A relaxed Ce2FePN5 crystal. Source: Alexandria via LeMat-Bulk, functional PBE.

Geometry as CIF:
```
data_Ce2FePN5
_chemical_formula_sum 'Ce8 Fe4 P4 N20'
_space_group_name_H-M_alt 'C m c 21'
_space_group_IT_number 36
_cell_length_a 3.146
_cell_length_b 13.602
_cell_length_c 9.879
_cell_angle_alpha 90.00
_cell_angle_beta 90.00
_cell_angle_gamma 90.00
loop_
_space_group_symop_operation_xyz
'x,y,z'
'-x,-y,z+1/2'
'-x,y,z'
'x,-y,z+1/2'
'x+1/2,y+1/2,z'
'-x+1/2,-y+1/2,z+1/2'
'-x+1/2,y+1/2,z'
'x+1/2,-y+1/2,z+1/2'
loop_
_atom_site_label
_atom_site_type_symbol
_atom_site_fract_x
_atom_site_fract_y
_atom_site_fract_z
_atom_site_occupancy
Ce1 Ce 0.000 0.122 0.000 1
Ce2 Ce 0.000 0.142 0.639 1
Fe1 Fe 0.000 0.214 0.366 1
P1 P 0.000 0.433 0.767 1
N1 N 0.000 0.057 0.358 1
N2 N 0.000 0.291 0.985 1
N3 N 0.000 0.316 0.725 1
N4 N 0.000 0.354 0.332 1
N5 N 0.000 0.497 0.629 1
```

Values from the calculation:
The value obtained for the uncorrected formation energy is -0.778 eV per atom. As for the total moment: 0.021 μB per atom.

A relaxed CeFePN crystal. Source: Alexandria via LeMat-Bulk, functional PBE.

Geometry as CIF:
```
data_CeFePN
_chemical_formula_sum 'Ce2 Fe2 P2 N2'
_space_group_name_H-M_alt 'P 4/n m m'
_space_group_IT_number 129
_cell_length_a 3.748
_cell_length_b 3.748
_cell_length_c 7.802
_cell_angle_alpha 90.00
_cell_angle_beta 90.00
_cell_angle_gamma 90.00
loop_
_space_group_symop_operation_xyz
'x,y,z'
'-x,-y,-z'
'-y+1/2,x,z'
'y+1/2,-x,-z'
'-x+1/2,-y+1/2,z'
'x+1/2,y+1/2,-z'
'y,-x+1/2,z'
'-y,x+1/2,-z'
'x+1/2,-y,-z'
'-x+1/2,y,z'
'-y,-x,-z'
'y,x,z'
'-x,y+1/2,-z'
'x,-y+1/2,z'
'y+1/2,x+1/2,-z'
'-y+1/2,-x+1/2,z'
loop_
_atom_site_label
_atom_site_type_symbol
_atom_site_fract_x
_atom_site_fract_y
_atom_site_fract_z
_atom_site_occupancy
Ce1 Ce 0.250 0.250 0.171 1
Fe1 Fe 0.250 0.750 0.500 1
P1 P 0.250 0.250 0.645 1
N1 N 0.250 0.250 0.867 1
```

Values from the calculation:
The value obtained for the uncorrected formation energy is -1.200 eV per atom. As for the total moment: 0.000 μB per atom.

A relaxed CePa2FeN4 crystal. Source: Alexandria via LeMat-Bulk, functional PBE.

Geometry as CIF:
```
data_CePa2FeN4
_chemical_formula_sum 'Ce4 Pa8 Fe4 N16'
_space_group_name_H-M_alt 'C m c m'
_space_group_IT_number 63
_space_group_name_Hall '-C 2c 2'
_cell_length_a 3.402
_cell_length_b 11.540
_cell_length_c 11.430
_cell_angle_alpha 90.00
_cell_angle_beta 90.00
_cell_angle_gamma 90.00
loop_
_atom_site_label
_atom_site_type_symbol
_atom_site_fract_x
_atom_site_fract_y
_atom_site_fract_z
_atom_site_occupancy
Ce1 Ce 0.000 0.105 0.250 1
Pa1 Pa 0.000 0.367 0.060 1
Fe1 Fe 0.000 0.158 0.750 1
N1 N 0.000 0.000 0.000 1
N2 N 0.000 0.274 0.622 1
N3 N 0.000 0.444 0.250 1
```

Values from the calculation:
The value obtained for the uncorrected formation energy is -1.350 eV per atom. As for the total moment: 0.018 μB per atom.